The following is a GGA-PBE calculation of an optimized crystal structure of NdSm2WN4, from the Alexandria database.

Volume ... 128.1 Å³/f.u.
ΔE_f (raw) ... -1.0058 eV/atom

Unit cell a=3.4716 b=6.2709 c=12.2423 alpha=90.00 beta=90.00 gamma=106.07
Sites, in units of the cell vectors:
Nd 0.0925 0.1849 0.7500
Nd 0.9075 0.8151 0.2500
Sm 0.3694 0.7388 0.5378
Sm 0.6306 0.2612 0.0378
Sm 0.6306 0.2612 0.4622
Sm 0.3694 0.7388 0.9622
W 0.8334 0.6668 0.7500
W 0.1666 0.3332 0.2500
N 0.2653 0.5305 0.1283
N 0.7347 0.4695 0.6283
N 0.7347 0.4695 0.8717
N 0.2653 0.5305 0.3717
N 0.0000 0.0000 0.5000
N 0.0000 0.0000 0.0000
N 0.4320 0.8640 0.7500
N 0.5680 0.1360 0.2500